This record from Alexandria via LeMat-Bulk describes crystalline PrLuAs at its relaxed geometry. The functional is PBE-GGA.

Properties
The formation energy comes out at -0.5852 eV per atom. The symmetry is P3m1. For the total energy, the calculation gives -15.71 eV for the cell shown. The density of states at the Fermi level is 3.6 states/eV per cell.

a b c (Å): 4.301 4.735 4.735
angles (deg): 120.00 90.00 90.00
Fractional positions:
1 As 0.085 0.000 0.000
2 Pr 0.707 0.667 0.333
3 Lu 0.208 0.333 0.667



This record from Alexandria via LeMat-Bulk describes crystalline Lu5As3Pt12 at its relaxed geometry. The functional is PBE-GGA.

Properties
The formation energy comes out at -0.2870 eV per atom. The symmetry is Ia-3d. For the total energy, the calculation gives -459.13 eV for the cell shown. The density of states at the Fermi level is 50.8 states/eV per cell.

a b c (Å): 13.321 13.321 13.321
angles (deg): 109.47 109.47 109.47
Fractional positions:
1 Lu 0.500 0.500 0.000
2 Lu 0.375 0.125 0.750
3 Lu 0.000 0.000 0.500
4 Lu 0.875 0.250 0.625
5 Lu 0.250 0.375 0.625
6 Lu 0.375 0.250 0.125
7 Lu 0.875 0.625 0.750
8 Lu 0.500 0.000 0.000
9 Lu 0.500 0.000 0.500
10 Lu 0.000 0.500 0.000
11 Lu 0.750 0.125 0.875
12 Lu 0.750 0.625 0.375
13 Lu 0.125 0.375 0.250
14 Lu 0.500 0.500 0.500
15 Lu 0.000 0.000 0.000
16 Lu 0.125 0.750 0.375
17 Lu 0.000 0.500 0.500
18 Lu 0.625 0.875 0.250
19 Lu 0.250 0.875 0.125
20 Lu 0.625 0.750 0.875
21 Pt 0.388 0.130 0.552
22 Pt 0.052 0.164 0.422
23 Pt 0.948 0.112 0.870
24 Pt 0.242 0.578 0.630
25 Pt 0.448 0.370 0.612
26 Pt 0.948 0.836 0.578
27 Pt 0.742 0.612 0.164
28 Pt 0.922 0.370 0.258
29 Pt 0.336 0.578 0.448
30 Pt 0.552 0.630 0.388
31 Pt 0.870 0.612 0.948
32 Pt 0.742 0.130 0.078
33 Pt 0.870 0.258 0.422
34 Pt 0.422 0.664 0.052
35 Pt 0.888 0.052 0.630
36 Pt 0.130 0.742 0.578
37 Pt 0.078 0.448 0.836
38 Pt 0.630 0.078 0.242
39 Pt 0.612 0.742 0.664
40 Pt 0.758 0.336 0.888
41 Pt 0.112 0.948 0.370
42 Pt 0.112 0.164 0.242
43 Pt 0.630 0.552 0.888
44 Pt 0.052 0.888 0.130
45 Pt 0.242 0.664 0.112
46 Pt 0.578 0.336 0.948
47 Pt 0.164 0.052 0.922
48 Pt 0.336 0.758 0.388
49 Pt 0.164 0.112 0.742
50 Pt 0.578 0.242 0.130
51 Pt 0.922 0.552 0.164
52 Pt 0.552 0.922 0.664
53 Pt 0.258 0.870 0.922
54 Pt 0.836 0.948 0.078
55 Pt 0.370 0.922 0.758
56 Pt 0.664 0.242 0.612
57 Pt 0.130 0.388 0.052
58 Pt 0.258 0.388 0.836
59 Pt 0.758 0.422 0.370
60 Pt 0.370 0.448 0.112
61 Pt 0.448 0.078 0.336
62 Pt 0.422 0.758 0.870
63 Pt 0.836 0.888 0.258
64 Pt 0.612 0.870 0.448
65 Pt 0.664 0.422 0.552
66 Pt 0.078 0.630 0.742
67 Pt 0.388 0.258 0.336
68 Pt 0.888 0.836 0.758
69 As 0.625 0.375 0.750
70 As 0.250 0.625 0.875
71 As 0.750 0.375 0.125
72 As 0.375 0.625 0.250
73 As 0.875 0.750 0.125
74 As 0.875 0.125 0.250
75 As 0.375 0.750 0.625
76 As 0.125 0.250 0.875
77 As 0.750 0.875 0.625
78 As 0.250 0.125 0.375
79 As 0.625 0.250 0.375
80 As 0.125 0.875 0.750



This record from Alexandria via LeMat-Bulk describes crystalline LuAsPt at its relaxed geometry. The functional is PBE-GGA.

Properties
The formation energy comes out at -0.1380 eV per atom. The symmetry is I4mm. For the total energy, the calculation gives -15.63 eV for the cell shown. The density of states at the Fermi level is 1.7 states/eV per cell.

a b c (Å): 3.494 3.494 6.634
angles (deg): 105.27 105.27 90.00
Fractional positions:
1 As 0.177 0.177 0.354
2 Pt 0.729 0.729 0.457
3 Lu 0.944 0.944 0.889



This record from Alexandria via LeMat-Bulk describes crystalline LuAsPt at its relaxed geometry. The functional is PBE-GGA.

Properties
The formation energy comes out at -1.1726 eV per atom. The symmetry is P6_3/mmc. For the total energy, the calculation gives -74.92 eV for the cell shown. The density of states at the Fermi level is 2.6 states/eV per cell.

a b c (Å): 4.261 4.261 14.972
angles (deg): 90.00 90.00 120.00
Fractional positions:
1 As 0.667 0.333 0.388
2 As 0.667 0.333 0.112
3 As 0.333 0.667 0.612
4 As 0.333 0.667 0.888
5 Lu 0.000 0.000 0.000
6 Lu 0.000 0.000 0.750
7 Lu 0.000 0.000 0.250
8 Lu 0.000 0.000 0.500
9 Pt 0.667 0.333 0.639
10 Pt 0.667 0.333 0.861
11 Pt 0.333 0.667 0.139
12 Pt 0.333 0.667 0.361



This record from Alexandria via LeMat-Bulk describes crystalline LuAsPt at its relaxed geometry. The functional is PBE-GGA.

Properties
The formation energy comes out at -1.1343 eV per atom. The symmetry is P6_3/mmc. For the total energy, the calculation gives -37.23 eV for the cell shown. The density of states at the Fermi level is 2.2 states/eV per cell.

a b c (Å): 4.275 4.275 7.492
angles (deg): 90.00 90.00 120.00
Fractional positions:
1 Pt 0.667 0.333 0.750
2 Pt 0.333 0.667 0.250
3 As 0.333 0.667 0.750
4 As 0.667 0.333 0.250
5 Lu 0.000 0.000 0.500
6 Lu 0.000 0.000 0.000



This record from Alexandria via LeMat-Bulk describes crystalline LuPuAs at its relaxed geometry. The functional is PBE-GGA.

Properties
The formation energy comes out at -0.4544 eV per atom. The relative energy among the computed polymorphs is 0.109 eV/atom. The symmetry is P3m1. For the total energy, the calculation gives -24.87 eV for the cell shown. The density of states at the Fermi level is 7.9 states/eV per cell.

a b c (Å): 3.897 4.738 4.738
angles (deg): 120.00 90.00 90.00
Site moments in Bohr magnetons follow the coordinates.
Fractional positions:
1 As 0.837 0.000 0.000  -0.07
2 Lu 0.831 0.667 0.333  0.37
3 Pu 0.332 0.333 0.667  5.62



This record from Alexandria via LeMat-Bulk describes crystalline Lu2PuAs at its relaxed geometry. The functional is PBE-GGA.

Properties
The formation energy comes out at -0.4429 eV per atom. The symmetry is R-3m. For the total energy, the calculation gives -29.80 eV for the cell shown. The density of states at the Fermi level is 10.5 states/eV per cell.

a b c (Å): 3.722 3.722 9.522
angles (deg): 78.73 78.73 60.00
Site moments in Bohr magnetons follow the coordinates.
Fractional positions:
1 Pu 0.500 0.500 0.500  5.71
2 Lu 0.271 0.271 0.188  0.16
3 Lu 0.729 0.729 0.812  0.16
4 As 0.000 0.000 0.000  0.02



This record from Alexandria via LeMat-Bulk describes crystalline LuPuAs at its relaxed geometry. The functional is PBE-GGA.

Properties
The formation energy comes out at -0.5635 eV per atom. The relative energy among the computed polymorphs is 0.000 eV/atom. The symmetry is I4mm. For the total energy, the calculation gives -25.19 eV for the cell shown. The density of states at the Fermi level is 6.3 states/eV per cell.

a b c (Å): 3.612 3.612 6.226
angles (deg): 106.86 106.86 90.00
Site moments in Bohr magnetons follow the coordinates.
Fractional positions:
1 Pu 0.023 0.023 0.047  -5.46
2 As 0.674 0.674 0.348  0.08
3 Lu 0.302 0.302 0.605  -0.19



This record from Alexandria via LeMat-Bulk describes crystalline LuAsRh2 at its relaxed geometry. The functional is PBE-GGA.

Properties
The formation energy comes out at -0.7470 eV per atom. The symmetry is P4/mmm. For the total energy, the calculation gives -26.86 eV for the cell shown. The density of states at the Fermi level is 2.5 states/eV per cell.

a b c (Å): 3.783 4.182 4.182
angles (deg): 90.00 90.00 90.00
Fractional positions:
1 As 0.500 0.000 0.000
2 Rh 0.000 0.500 0.000
3 Rh 0.000 0.000 0.500
4 Lu 0.500 0.500 0.500



This record from Alexandria via LeMat-Bulk describes crystalline LuAs2Rh at its relaxed geometry. The functional is PBE-GGA.

Properties
The formation energy comes out at -0.8149 eV per atom. The symmetry is R-3m. For the total energy, the calculation gives -24.43 eV for the cell shown. The density of states at the Fermi level is 1.1 states/eV per cell.

a b c (Å): 3.970 3.970 6.011
angles (deg): 70.72 70.72 60.00
Fractional positions:
1 As 0.735 0.735 0.796
2 As 0.265 0.265 0.204
3 Rh 0.000 0.000 0.000
4 Lu 0.500 0.500 0.500



This record from Alexandria via LeMat-Bulk describes crystalline Lu2AsS at its relaxed geometry. The functional is PBE-GGA.

Properties
The symmetry is R-3m. For the total energy, the calculation gives -24.61 eV for the cell shown. The density of states at the Fermi level is 1.7 states/eV per cell.

a b c (Å): 3.940 3.940 6.763
angles (deg): 73.06 73.06 60.00
Fractional positions:
1 S 0.500 0.500 0.500
2 Lu 0.751 0.751 0.748
3 Lu 0.249 0.249 0.252
4 As 0.000 0.000 0.000



This record from Alexandria via LeMat-Bulk describes crystalline LuScAs2 at its relaxed geometry. The functional is PBE-GGA.

Properties
The formation energy comes out at -1.4200 eV per atom. The symmetry is R-3m. For the total energy, the calculation gives -25.83 eV for the cell shown. The density of states at the Fermi level is 0.6 states/eV per cell.

a b c (Å): 3.960 3.960 6.850
angles (deg): 73.20 73.20 60.00
Fractional positions:
1 As 0.747 0.747 0.759
2 As 0.253 0.253 0.241
3 Sc 0.000 0.000 0.000
4 Lu 0.500 0.500 0.500



This record from Alexandria via LeMat-Bulk describes crystalline LuSc2As at its relaxed geometry. The functional is PBE-GGA.

Properties
The formation energy comes out at -0.5190 eV per atom. The symmetry is R-3m. For the total energy, the calculation gives -23.91 eV for the cell shown. The density of states at the Fermi level is 5.1 states/eV per cell.

a b c (Å): 3.650 3.650 9.081
angles (deg): 78.41 78.41 60.00
Site moments in Bohr magnetons follow the coordinates.
Fractional positions:
1 Sc 0.273 0.273 0.182  0.09
2 Sc 0.727 0.727 0.818  0.09
3 Lu 0.500 0.500 0.500  0.28
4 As 0.000 0.000 0.000  0.00



This record from Alexandria via LeMat-Bulk describes crystalline Lu2AsSe at its relaxed geometry. The functional is PBE-GGA.

Properties
The symmetry is R-3m. For the total energy, the calculation gives -23.58 eV for the cell shown. The density of states at the Fermi level is 1.6 states/eV per cell.

a b c (Å): 4.011 4.011 6.967
angles (deg): 73.27 73.27 60.00
Fractional positions:
1 Se 0.500 0.500 0.500
2 Lu 0.255 0.255 0.236
3 Lu 0.745 0.745 0.764
4 As 0.000 0.000 0.000



This record from Alexandria via LeMat-Bulk describes crystalline Lu3As5Se12 at its relaxed geometry. The functional is PBE-GGA.

Properties
The symmetry is Ia-3d. For the total energy, the calculation gives -361.11 eV for the cell shown. The density of states at the Fermi level is 9.5 states/eV per cell.

a b c (Å): 14.023 14.023 14.023
angles (deg): 109.47 109.47 109.47
Fractional positions:
1 Se 0.453 0.670 0.088
2 Se 0.670 0.453 0.588
3 Se 0.718 0.583 0.170
4 Se 0.912 0.083 0.865
5 Se 0.330 0.782 0.417
6 Se 0.412 0.047 0.330
7 Se 0.282 0.865 0.953
8 Se 0.635 0.047 0.218
9 Se 0.330 0.547 0.412
10 Se 0.218 0.670 0.083
11 Se 0.917 0.830 0.782
12 Se 0.583 0.865 0.412
13 Se 0.083 0.170 0.218
14 Se 0.718 0.135 0.047
15 Se 0.088 0.170 0.453
16 Se 0.912 0.830 0.547
17 Se 0.865 0.282 0.453
18 Se 0.635 0.588 0.917
19 Se 0.782 0.453 0.365
20 Se 0.583 0.718 0.670
21 Se 0.865 0.583 0.912
22 Se 0.588 0.953 0.670
23 Se 0.782 0.330 0.917
24 Se 0.830 0.917 0.282
25 Se 0.830 0.912 0.047
26 Se 0.047 0.635 0.718
27 Se 0.170 0.083 0.718
28 Se 0.670 0.218 0.583
29 Se 0.547 0.218 0.135
30 Se 0.412 0.365 0.583
31 Se 0.083 0.912 0.365
32 Se 0.365 0.412 0.083
33 Se 0.365 0.953 0.782
34 Se 0.417 0.135 0.588
35 Se 0.218 0.547 0.635
36 Se 0.047 0.412 0.830
37 Se 0.417 0.282 0.330
38 Se 0.282 0.417 0.830
39 Se 0.953 0.588 0.170
40 Se 0.135 0.718 0.547
41 Se 0.135 0.417 0.088
42 Se 0.170 0.088 0.953
43 Se 0.547 0.330 0.912
44 Se 0.088 0.917 0.135
45 Se 0.588 0.635 0.417
46 Se 0.917 0.088 0.635
47 Se 0.453 0.782 0.865
48 Se 0.953 0.365 0.282
49 Lu 0.750 0.375 0.125
50 Lu 0.125 0.875 0.750
51 Lu 0.375 0.750 0.625
52 Lu 0.125 0.250 0.875
53 Lu 0.625 0.250 0.375
54 Lu 0.875 0.125 0.250
55 Lu 0.875 0.750 0.125
56 Lu 0.375 0.625 0.250
57 Lu 0.625 0.375 0.750
58 Lu 0.750 0.875 0.625
59 Lu 0.250 0.625 0.875
60 Lu 0.250 0.125 0.375
61 As 0.625 0.875 0.250
62 As 0.125 0.375 0.250
63 As 0.500 0.500 0.500
64 As 0.750 0.125 0.875
65 As 0.625 0.750 0.875
66 As 0.250 0.375 0.625
67 As 0.500 0.000 0.000
68 As 0.000 0.500 0.500
69 As 0.375 0.250 0.125
70 As 0.125 0.750 0.375
71 As 0.875 0.250 0.625
72 As 0.500 0.500 0.000
73 As 0.875 0.625 0.750
74 As 0.500 0.000 0.500
75 As 0.000 0.000 0.500
76 As 0.000 0.500 0.000
77 As 0.250 0.875 0.125
78 As 0.750 0.625 0.375
79 As 0.000 0.000 0.000
80 As 0.375 0.125 0.750



This record from Alexandria via LeMat-Bulk describes crystalline Lu2SnAs at its relaxed geometry. The functional is PBE-GGA.

Properties
The formation energy comes out at -0.5441 eV per atom. The symmetry is R-3m. For the total energy, the calculation gives -19.87 eV for the cell shown. The density of states at the Fermi level is 1.7 states/eV per cell.

a b c (Å): 3.826 3.826 9.600
angles (deg): 78.50 78.50 60.00
Fractional positions:
1 Lu 0.892 0.892 0.323
2 Lu 0.108 0.108 0.677
3 As 0.500 0.500 0.500
4 Sn 0.000 0.000 0.000



This record from Alexandria via LeMat-Bulk describes crystalline SrLuAs2 at its relaxed geometry. The functional is PBE-GGA.

Properties
The formation energy comes out at -1.1512 eV per atom. The symmetry is R-3m. For the total energy, the calculation gives -20.11 eV for the cell shown. The density of states at the Fermi level is 3.5 states/eV per cell.

a b c (Å): 4.202 4.202 7.520
angles (deg): 73.78 73.78 60.00
Fractional positions:
1 As 0.261 0.261 0.217
2 As 0.739 0.739 0.783
3 Sr 0.500 0.500 0.500
4 Lu 0.000 0.000 0.000



This record from Alexandria via LeMat-Bulk describes crystalline TbLuAs at its relaxed geometry. The functional is PBE-GGA.

Properties
The formation energy comes out at -0.5455 eV per atom. The relative energy among the computed polymorphs is 0.180 eV/atom. The symmetry is P3m1. For the total energy, the calculation gives -15.44 eV for the cell shown. The density of states at the Fermi level is 3.2 states/eV per cell.

a b c (Å): 4.175 4.665 4.665
angles (deg): 120.00 90.00 90.00
Fractional positions:
1 As 0.050 0.000 0.000
2 Tb 0.726 0.667 0.333
3 Lu 0.225 0.333 0.667



This record from Alexandria via LeMat-Bulk describes crystalline TbLuAs at its relaxed geometry. The functional is PBE-GGA.

Properties
The formation energy comes out at -0.7252 eV per atom. The relative energy among the computed polymorphs is 0.000 eV/atom. The symmetry is I4mm. For the total energy, the calculation gives -15.98 eV for the cell shown. The density of states at the Fermi level is 2.3 states/eV per cell.

a b c (Å): 3.658 3.658 6.211
angles (deg): 107.12 107.12 90.00
Site moments in Bohr magnetons follow the coordinates.
Fractional positions:
1 Tb 0.929 0.929 0.859  0.34
2 Lu 0.644 0.644 0.288  0.26
3 As 0.277 0.277 0.553  0.01



This record from Alexandria via LeMat-Bulk describes crystalline Lu2TeAs at its relaxed geometry. The functional is PBE-GGA.

Properties
The symmetry is R-3m. For the total energy, the calculation gives -22.33 eV for the cell shown. The density of states at the Fermi level is 1.6 states/eV per cell.

a b c (Å): 4.117 4.117 7.323
angles (deg): 73.67 73.67 60.00
Fractional positions:
1 Te 0.500 0.500 0.500
2 Lu 0.262 0.262 0.215
3 Lu 0.738 0.738 0.785
4 As 0.000 0.000 0.000



This record from Alexandria via LeMat-Bulk describes crystalline LuTh2As at its relaxed geometry. The functional is PBE-GGA.

Properties
The formation energy comes out at -0.1603 eV per atom. The symmetry is R-3m. For the total energy, the calculation gives -24.65 eV for the cell shown. The density of states at the Fermi level is 5.6 states/eV per cell.

a b c (Å): 3.732 3.732 10.789
angles (deg): 80.04 80.04 60.00
Fractional positions:
1 Lu 0.000 0.000 0.000
2 Th 0.895 0.895 0.314
3 Th 0.105 0.105 0.686
4 As 0.500 0.500 0.500